DFT (PBE) results for a relaxed VSb crystal.

abc: 3.107 3.967 7.297
angles: 90.00 90.00 90.00
Space group Pmmn (No. 59, origin choice 2)
Unique sites:
1 V 0.250 0.250 0.026 x2
2 Sb 0.250 0.750 0.297 x2

The calculated volume is 22.5 A^3/atom. The total magnetic moment comes out at 0.0 μB per formula unit. For the formation energy (no corrections), the calculation gives 222 meV per atom.



DFT (PBE) results for a relaxed KCuW2 crystal.

abc: 2.824 3.415 8.765
angles: 90.00 95.60 90.00
Space group Pm (No. 6)
Unique sites:
1 K 0.000 0.000 0.000 x1
2 Cu 0.421 0.500 0.708 x1
3 W 0.473 0.500 0.352 x1
4 W 0.855 0.000 0.537 x1

The calculated volume is 21.0 A^3/atom. The total magnetic moment comes out at 0.0 μB per formula unit. Its calculated formation energy is 827 meV/atom. The value obtained for the polymorph energy (0 for the lowest one) is 0.0770 eV per atom.



DFT (PBE) results for a relaxed Y2InIr crystal.

abc: 6.778 3.930 8.465
angles: 90.00 105.67 90.00
Space group C2/m (No. 12)
Unique sites:
1 Y 0.233 0.000 0.199 x4
2 In 0.000 0.000 0.500 x2
3 Ir 0.000 0.500 0.000 x2

The calculated volume is 27.1 A^3/atom. The total magnetic moment comes out at 0.0 μB per formula unit. Its calculated formation energy is -500 meV/atom.



DFT (PBE) results for a relaxed Rb7NbTe6 crystal.

abc: 9.437 16.332 19.495
angles: 90.00 90.00 90.00
Space group Ibam (No. 72)
Unique sites:
1 Rb 0.000 0.000 0.250 x4
2 Rb 0.140 0.283 0.117 x16
3 Rb 0.220 0.039 0.000 x8
4 Nb 0.000 0.500 0.250 x4
5 Te 0.083 0.167 0.500 x8
6 Te 0.169 0.406 0.323 x16

The calculated volume is 53.7 A^3/atom. The total magnetic moment comes out at 0.0 μB per formula unit. For the formation energy (no corrections), the calculation gives -855 meV per atom.



DFT (PBE) results for a relaxed Ba2TiIr3O12 crystal.

abc: 7.1343 7.1343 17.5298
angles: 90.00 90.00 120.00
Space group R-3m (No. 166, hexagonal axes)
Unique sites:
1 Ba 0.0000 0.0000 0.1244 x6
2 Ti 0.0000 0.0000 0.5000 x3
3 Ir 0.0000 0.5000 0.0000 x9
4 O 0.0570 0.5285 0.3554 x18
5 O 0.0607 0.5303 0.1092 x18

The calculated volume is 14.3 A^3/atom. The total magnetic moment comes out at 0.0 μB per formula unit. For the formation energy (no corrections), the calculation gives -1542 meV per atom.



DFT (PBE) results for a relaxed Ca2TiHg crystal.

abc: 8.537 8.537 6.344
angles: 90.00 90.00 90.00
Space group I-42d (No. 122)
Unique sites:
1 Ca 0.224 0.250 0.125 x8
2 Ti 0.000 0.000 0.500 x4
3 Hg 0.000 0.000 0.000 x4

The calculated volume is 28.9 A^3/atom. The total magnetic moment comes out at 2.2 μB per formula unit. Its calculated formation energy is 346 meV/atom.